First-principles (PBE-GGA) data for a relaxed MoPSe2 crystal, as listed in the Alexandria database.

## Properties
Uncorrected formation energy (eV/atom): 0.529
Electronic total energy (eV/atom): -5.27
DOS at the Fermi energy (states/eV per atom): 1.188

Lattice parameters (Å, degrees): 6.120 6.120 10.248 90.00 90.00 90.00
Space group I-42d (No. 122)
Asymmetric unit:
Mo: 0.000 0.000 0.000 x4
P: 0.000 0.000 0.500 x4
Se: 0.226 0.250 0.125 x8